VASP calculation (GGA-PBE) on Tb2NpPaP4 after structural relaxation.

Calculated values
For the formation energy, the calculation gives -1.355 eV per atom. The space group is P2/m (10).

Cell: 6.9028 3.9933 6.9367 Å, 90.00 109.49 90.00°
Last column: nearest neighbours and their distance in Å.
Element x y z (fractional)
1 Tb 0.0000 0.0000 0.0000  6 P 2.85
2 Tb 0.5000 0.5000 0.0000  6 P 2.84-2.85
3 Np 0.0000 0.5000 0.5000  6 P 2.80-2.81
4 Pa 0.5000 0.0000 0.5000  6 P 2.80
5 P 0.2483 0.0000 0.7434  1 Pa 2.80, 2 Np 2.80, 3 Tb 2.85
6 P 0.2528 0.5000 0.2552  2 Pa 2.80, 1 Np 2.81, 3 Tb 2.84-2.85
7 P 0.7472 0.5000 0.7448  2 Pa 2.80, 1 Np 2.81, 3 Tb 2.84-2.85
8 P 0.7517 0.0000 0.2566  1 Pa 2.80, 2 Np 2.80, 3 Tb 2.85